Record 1
Density functional theory data (GGA-PBE) for a relaxed ZrTi2Rh2 crystal.

Summary:
Its space-group type is P4/mbm (127). The value obtained for the total DFT energy (no corrections) is -0.307 Ha/atom. The calculation puts the energy above the most stable polymorph in this dataset at 6 meV per atom. The density of states at the Fermi level comes out at 1.00 states/eV per atom. The value obtained for the volume is 16.87 A^3/atom.

Cell lengths 7.506, 7.506, 2.994 Å; angles 90.00, 90.00, 90.00 degrees
Element x y z (fractional)
1 Zr 0.000 0.000 0.000
2 Zr 0.500 0.500 0.000
3 Ti 0.161 0.339 0.500
4 Ti 0.339 0.839 0.500
5 Ti 0.661 0.161 0.500
6 Ti 0.839 0.661 0.500
7 Rh 0.133 0.633 0.000
8 Rh 0.367 0.133 0.000
9 Rh 0.633 0.867 0.000
10 Rh 0.867 0.367 0.000

***

Record 2
Density functional theory data (GGA-PBE) for a relaxed Tl2Rh3 crystal.

Summary:
Its space-group type is P-3m1 (164). The value obtained for the total DFT energy (no corrections) is -0.183 Ha/atom. The calculation puts the energy above the most stable polymorph in this dataset at 185 meV per atom. The density of states at the Fermi level comes out at 1.17 states/eV per atom. The value obtained for the volume is 19.53 A^3/atom.

Cell lengths 4.499, 4.499, 5.570 Å; angles 90.00, 90.00, 120.00 degrees
Element x y z (fractional)
1 Tl 0.333 0.667 0.307
2 Tl 0.667 0.333 0.693
3 Rh 0.000 0.000 0.500
4 Rh 0.333 0.667 0.823
5 Rh 0.667 0.333 0.177

***

Record 3
Density functional theory data (GGA-PBE) for a relaxed Tl2Rh crystal.

Summary:
Its space-group type is Fd-3m (227). The value obtained for the total DFT energy (no corrections) is -0.113 Ha/atom. The density of states at the Fermi level comes out at 1.12 states/eV per atom. The value obtained for the volume is 24.52 A^3/atom.

Cell lengths 5.926, 5.926, 5.926 Å; angles 60.00, 60.00, 60.00 degrees
Element x y z (fractional)
1 Tl 0.000 0.000 0.000
2 Tl 0.000 0.000 0.500
3 Tl 0.000 0.500 0.000
4 Tl 0.500 0.000 0.000
5 Rh 0.375 0.375 0.375
6 Rh 0.625 0.625 0.625

***

Record 4
Density functional theory data (GGA-PBE) for a relaxed TlRh crystal.

Summary:
Its space-group type is Imma (74). The value obtained for the total DFT energy (no corrections) is -0.171 Ha/atom. The density of states at the Fermi level comes out at 1.17 states/eV per atom. The value obtained for the volume is 18.91 A^3/atom.

Cell lengths 5.905, 5.905, 5.905 Å; angles 148.66, 134.64, 56.16 degrees
Element x y z (fractional)
1 Tl 0.362 0.112 0.250
2 Tl 0.638 0.888 0.750
3 Rh 0.118 0.368 0.750
4 Rh 0.882 0.632 0.250

***

Record 5
Density functional theory data (GGA-PBE) for a relaxed Tl2Rh crystal.

Summary:
Its space-group type is P-3m1 (164). The value obtained for the total DFT energy (no corrections) is -0.141 Ha/atom. The density of states at the Fermi level comes out at 0.63 states/eV per atom. The value obtained for the volume is 22.94 A^3/atom.

Cell lengths 3.404, 3.404, 6.859 Å; angles 90.00, 90.00, 120.00 degrees
Element x y z (fractional)
1 Tl 0.333 0.667 0.293
2 Tl 0.667 0.333 0.707
3 Rh 0.000 0.000 0.000

***

Record 6
Density functional theory data (GGA-PBE) for a relaxed Tl3Rh crystal.

Summary:
Its space-group type is R-3m (166). The value obtained for the total DFT energy (no corrections) is -0.128 Ha/atom. The calculation puts the energy above the most stable polymorph in this dataset at 90 meV per atom. The density of states at the Fermi level comes out at 0.51 states/eV per atom. The value obtained for the volume is 24.88 A^3/atom.

Cell lengths 9.957, 9.957, 9.957 Å; angles 19.85, 19.85, 19.85 degrees
Element x y z (fractional)
1 Tl 0.000 0.000 0.000
2 Tl 0.234 0.234 0.234
3 Tl 0.766 0.766 0.766
4 Rh 0.500 0.500 0.500

***

Record 7
Density functional theory data (GGA-PBE) for a relaxed Tl3Rh crystal.

Summary:
Its space-group type is P6_3/mmc (194). The value obtained for the total DFT energy (no corrections) is -0.123 Ha/atom. The calculation puts the energy above the most stable polymorph in this dataset at 232 meV per atom. The density of states at the Fermi level comes out at 0.72 states/eV per atom. The value obtained for the volume is 26.40 A^3/atom.

Cell lengths 7.938, 7.938, 7.740 Å; angles 90.00, 90.00, 120.00 degrees
Element x y z (fractional)
1 Tl 0.000 0.500 0.000
2 Tl 0.000 0.500 0.500
3 Tl 0.142 0.283 0.250
4 Tl 0.142 0.858 0.250
5 Tl 0.283 0.142 0.750
6 Tl 0.500 0.000 0.000
7 Tl 0.500 0.000 0.500
8 Tl 0.500 0.500 0.000
9 Tl 0.500 0.500 0.500
10 Tl 0.717 0.858 0.250
11 Tl 0.858 0.142 0.750
12 Tl 0.858 0.717 0.750
13 Rh 0.000 0.000 0.000
14 Rh 0.000 0.000 0.500
15 Rh 0.333 0.667 0.750
16 Rh 0.667 0.333 0.250

***

Record 8
Density functional theory data (GGA-PBE) for a relaxed Tl3Rh2 crystal.

Summary:
Its space-group type is P-3m1 (164). The value obtained for the total DFT energy (no corrections) is -0.157 Ha/atom. The calculation puts the energy above the most stable polymorph in this dataset at 0 meV per atom. The density of states at the Fermi level comes out at 0.64 states/eV per atom. The value obtained for the volume is 21.65 A^3/atom.

Cell lengths 4.722, 4.722, 5.606 Å; angles 90.00, 90.00, 120.00 degrees
Element x y z (fractional)
1 Tl 0.000 0.000 0.000
2 Tl 0.333 0.667 0.363
3 Tl 0.667 0.333 0.637
4 Rh 0.333 0.667 0.868
5 Rh 0.667 0.333 0.132

***

Record 9
Density functional theory data (GGA-PBE) for a relaxed Tl3Rh crystal.

Summary:
Its space-group type is Pmm2 (25). The value obtained for the total DFT energy (no corrections) is -0.126 Ha/atom. The calculation puts the energy above the most stable polymorph in this dataset at 131 meV per atom. The density of states at the Fermi level comes out at 0.57 states/eV per atom. The value obtained for the volume is 27.72 A^3/atom.

Cell lengths 3.189, 4.452, 7.810 Å; angles 90.00, 90.00, 90.00 degrees
Element x y z (fractional)
1 Tl 0.000 0.000 0.000
2 Tl 0.000 0.500 0.338
3 Tl 0.500 0.500 0.721
4 Rh 0.500 0.000 0.305

***

Record 10
Density functional theory data (GGA-PBE) for a relaxed Tl3Rh crystal.

Summary:
Its space-group type is Cmcm (63). The value obtained for the total DFT energy (no corrections) is -0.128 Ha/atom. The calculation puts the energy above the most stable polymorph in this dataset at 96 meV per atom. The density of states at the Fermi level comes out at 0.52 states/eV per atom. The value obtained for the volume is 25.87 A^3/atom.

Cell lengths 7.933, 7.933, 3.308 Å; angles 90.00, 90.00, 96.28 degrees
Element x y z (fractional)
1 Tl 0.162 0.838 0.750
2 Tl 0.163 0.410 0.750
3 Tl 0.410 0.163 0.250
4 Tl 0.590 0.837 0.750
5 Tl 0.837 0.590 0.250
6 Tl 0.838 0.162 0.250
7 Rh 0.410 0.590 0.250
8 Rh 0.590 0.410 0.750

***

Record 11
Density functional theory data (GGA-PBE) for a relaxed Tl2Rh3 crystal.

Summary:
Its space-group type is C2/m (12). The value obtained for the total DFT energy (no corrections) is -0.188 Ha/atom. The calculation puts the energy above the most stable polymorph in this dataset at 53 meV per atom. The density of states at the Fermi level comes out at 1.15 states/eV per atom. The value obtained for the volume is 17.45 A^3/atom.

Cell lengths 4.947, 4.947, 6.378 Å; angles 127.75, 127.75, 49.09 degrees
Element x y z (fractional)
1 Tl 0.085 0.085 0.295
2 Tl 0.915 0.915 0.705
3 Rh 0.300 0.300 0.903
4 Rh 0.500 0.500 0.500
5 Rh 0.700 0.700 0.097

***

Record 12
Density functional theory data (GGA-PBE) for a relaxed Tl2Rh crystal.

Summary:
Its space-group type is P6_3/mmc (194). The value obtained for the total DFT energy (no corrections) is -0.136 Ha/atom. The density of states at the Fermi level comes out at 0.79 states/eV per atom. The value obtained for the volume is 21.89 A^3/atom.

Cell lengths 4.939, 4.939, 6.218 Å; angles 90.00, 90.00, 120.00 degrees
Element x y z (fractional)
1 Tl 0.000 0.000 0.000
2 Tl 0.000 0.000 0.500
3 Tl 0.333 0.667 0.250
4 Tl 0.667 0.333 0.750
5 Rh 0.333 0.667 0.750
6 Rh 0.667 0.333 0.250

***

Record 13
Density functional theory data (GGA-PBE) for a relaxed Tl2Rh crystal.

Summary:
Its space-group type is I4/mmm (139). The value obtained for the total DFT energy (no corrections) is -0.142 Ha/atom. The density of states at the Fermi level comes out at 0.49 states/eV per atom. The value obtained for the volume is 22.54 A^3/atom.

Cell lengths 6.859, 6.859, 6.859 Å; angles 152.74, 152.74, 38.94 degrees
Element x y z (fractional)
1 Tl 0.140 0.140 0.000
2 Tl 0.860 0.860 0.000
3 Rh 0.500 0.500 0.000